(P)
Here is Pm3Nd2Er after structural relaxation from the Alexandria database. Energies are from PBE.

Cell: 6.781 17.911 3.424 Å, 90.00 90.00 90.00°
Fractional coordinates of all 12 atoms:
Pm  0.000  0.000  0.000
Pm  0.242  0.321  0.000
Pm  0.258  0.821  0.500
Pm  0.500  0.500  0.500
Pm  0.742  0.179  0.500
Pm  0.758  0.679  0.000
Nd  0.237  0.150  0.500
Nd  0.263  0.650  0.000
Nd  0.737  0.350  0.000
Nd  0.763  0.850  0.500
Er  0.000  0.500  0.000
Er  0.500  0.000  0.500

---

(Q)
Here is Pm3Nd2Er after structural relaxation from the Alexandria database. Energies are from PBE.

Cell: 3.487 6.670 9.244 Å, 77.41 79.30 89.98°
Fractional coordinates of all 6 atoms:
Pm  0.000  0.000  0.000
Pm  0.172  0.360  0.660
Pm  0.828  0.640  0.340
Nd  0.340  0.151  0.322
Nd  0.660  0.849  0.678
Er  0.000  0.500  0.000

---

Most stable structure: (Q)

---

(P)
Here is PmNd4Er3 after structural relaxation from the Alexandria database. Energies are from PBE.

Cell: 10.231 7.212 7.210 Å, 90.00 90.00 90.00°
Fractional coordinates of all 16 atoms:
Pm  0.000  0.000  0.000
Pm  0.500  0.000  0.500
Nd  0.000  0.000  0.500
Nd  0.000  0.500  0.000
Nd  0.250  0.252  0.250
Nd  0.250  0.748  0.750
Nd  0.500  0.000  0.000
Nd  0.500  0.500  0.500
Nd  0.750  0.252  0.250
Nd  0.750  0.748  0.750
Er  0.000  0.500  0.500
Er  0.250  0.252  0.750
Er  0.250  0.748  0.250
Er  0.500  0.500  0.000
Er  0.750  0.252  0.750
Er  0.750  0.748  0.250

---

(Q)
Here is PmNd4Er3 after structural relaxation from the Alexandria database. Energies are from PBE.

Cell: 11.608 7.335 6.323 Å, 90.00 90.00 90.00°
Fractional coordinates of all 16 atoms:
Pm  0.000  0.124  0.000
Pm  0.500  0.876  0.500
Nd  0.000  0.371  0.503
Nd  0.000  0.629  0.993
Nd  0.246  0.626  0.333
Nd  0.254  0.374  0.833
Nd  0.500  0.371  0.493
Nd  0.500  0.629  0.003
Nd  0.746  0.374  0.833
Nd  0.754  0.626  0.333
Er  0.000  0.880  0.498
Er  0.250  0.121  0.332
Er  0.250  0.879  0.832
Er  0.500  0.120  0.998
Er  0.750  0.121  0.332
Er  0.750  0.879  0.832

---

Most stable structure: (P)

---

(P)
Here is PmNd3Er2 after structural relaxation from the Alexandria database. Energies are from PBE.

Cell: 6.738 6.738 9.076 Å, 98.54 98.54 94.93°
Fractional coordinates of all 12 atoms:
Pm  0.106  0.894  0.750
Pm  0.894  0.106  0.250
Nd  0.147  0.314  0.983
Nd  0.314  0.147  0.483
Nd  0.437  0.563  0.750
Nd  0.563  0.437  0.250
Nd  0.686  0.853  0.517
Nd  0.853  0.686  0.017
Er  0.121  0.623  0.378
Er  0.377  0.879  0.122
Er  0.623  0.121  0.878
Er  0.879  0.377  0.622

---

(Q)
Here is PmNd3Er2 after structural relaxation from the Alexandria database. Energies are from PBE.

Cell: 6.879 6.879 17.802 Å, 101.99 101.99 29.94°
Fractional coordinates of all 12 atoms:
Pm  0.044  0.044  0.181
Pm  0.956  0.956  0.819
Nd  0.128  0.128  0.490
Nd  0.227  0.227  0.836
Nd  0.433  0.433  0.336
Nd  0.567  0.567  0.664
Nd  0.773  0.773  0.164
Nd  0.872  0.872  0.510
Er  0.135  0.135  0.003
Er  0.302  0.302  0.665
Er  0.698  0.698  0.335
Er  0.865  0.865  0.997

---

Most stable structure: (P)

---

(P)
Here is Pm2Nd6Er after structural relaxation from the Alexandria database. Energies are from PBE.

Cell: 10.240 10.240 6.272 Å, 95.11 95.11 71.00°
Fractional coordinates of all 18 atoms:
Pm  0.067  0.269  0.080
Pm  0.269  0.067  0.580
Pm  0.731  0.933  0.420
Pm  0.933  0.731  0.920
Nd  0.092  0.811  0.486
Nd  0.151  0.426  0.650
Nd  0.189  0.908  0.014
Nd  0.244  0.524  0.180
Nd  0.426  0.151  0.150
Nd  0.476  0.756  0.320
Nd  0.524  0.244  0.680
Nd  0.574  0.849  0.850
Nd  0.756  0.476  0.820
Nd  0.811  0.092  0.986
Nd  0.849  0.574  0.350
Nd  0.908  0.189  0.514
Er  0.400  0.600  0.750
Er  0.600  0.400  0.250

---

(Q)
Here is Pm2Nd6Er after structural relaxation from the Alexandria database. Energies are from PBE.

Cell: 10.151 10.151 3.670 Å, 90.00 90.00 124.08°
Fractional coordinates of all 9 atoms:
Pm  0.176  0.824  0.000
Pm  0.824  0.176  0.000
Nd  0.161  0.489  0.500
Nd  0.315  0.315  0.000
Nd  0.489  0.161  0.500
Nd  0.511  0.839  0.500
Nd  0.685  0.685  0.000
Nd  0.839  0.511  0.500
Er  0.000  0.000  0.500

---

Most stable structure: (P)